# Sr3SiBr

A relaxed Sr3SiBr crystal (PBE, the Alexandria database).

a b c (Å): 6.0809 6.0809 6.0809
angles (deg): 90.00 90.00 90.00
Sites, in units of the cell vectors:
Sr 0.0000 0.0000 0.5000
Sr 0.0000 0.5000 0.0000
Sr 0.5000 0.0000 0.0000
Si 0.0000 0.0000 0.0000
Br 0.5000 0.5000 0.5000

Computed properties:
Fermi-level density of states = 2.6 states/eV per cell
E_tot = -2.959 eV per atom
formation energy from raw total energies = -0.531 eV/atom
symmetry = Pm-3m
polymorph energy (0 for the lowest one) = 0 meV/atom